Material: AcNdPb
Method: DFT, PBE
State: optimized geometry

The structure in extended XYZ format:
```
6
Lattice="4.885 -0.236 -0.038 0.235 4.885 -0.039 0.075 0.069 9.157" Properties=species:S:1:pos:R:3 pbc="T T T"
Pb 1.667 1.761 5.967
Pb 4.192 4.054 1.627
Nd 1.805 4.222 8.375
Nd 4.130 1.662 8.376
Ac 1.638 1.735 2.437
Ac 4.221 4.080 5.157
```

Computed properties:
**Total magnetic moment**: 0.81 Bohr magnetons per cell
**Energy above the lowest structure with this stoichiometry**: 0.000 eV per atom
**Raw total energy**: -4.629 eV per atom
**SG**: P4/nmm, No. 129
**Formation enthalpy at 0 K**: -0.43 eV per atom



Material: AcNd5Pb6
Method: DFT, PBE
State: optimized geometry

The structure in extended XYZ format:
```
12
Lattice="9.076 0.127 0.000 2.999 5.577 0.000 1.500 2.788 7.919" Properties=species:S:1:pos:R:3 pbc="T T T"
Pb 6.073 6.914 5.200
Pb 3.038 1.539 0.000
Pb 9.002 4.366 5.200
Pb 4.573 4.126 2.719
Pb 9.038 4.165 0.000
Pb 7.502 1.578 2.719
Nd 1.500 2.788 2.694
Nd 7.537 5.640 2.522
Nd 6.038 2.852 0.000
Nd 2.999 5.577 5.225
Nd 6.038 2.852 5.397
Ac 0.000 0.000 0.000
```

Computed properties:
**Total magnetic moment**: 0.00 Bohr magnetons per cell
**Energy above the lowest structure with this stoichiometry**: 0.025 eV per atom
**Raw total energy**: -4.658 eV per atom
**SG**: C2/m, No. 12
**Formation enthalpy at 0 K**: -0.47 eV per atom



Material: Ac2Nd2Pb3
Method: DFT, PBE
State: optimized geometry

The structure in extended XYZ format:
```
7
Lattice="5.198 -0.004 0.001 -2.594 5.787 -0.375 -0.006 -1.106 9.272" Properties=species:S:1:pos:R:3 pbc="T T T"
Nd 2.595 0.648 8.529
Nd 0.003 4.028 0.369
Ac 0.000 1.074 3.166
Ac 2.597 3.602 5.731
Pb 2.601 3.198 2.326
Pb -0.004 1.478 6.572
Pb 0.000 0.000 0.000
```

Computed properties:
**Total magnetic moment**: 0.00 Bohr magnetons per cell
**Raw total energy**: -4.507 eV per atom
**SG**: C2/m, No. 12
**Formation enthalpy at 0 K**: -0.38 eV per atom



Material: Ac4NdPb4
Method: DFT, PBE
State: optimized geometry

The structure in extended XYZ format:
```
18
Lattice="6.932 0.000 0.000 0.000 10.115 0.000 0.000 0.000 10.115" Properties=species:S:1:pos:R:3 pbc="T T T"
Ac 4.366 0.774 2.828
Ac 2.566 7.287 0.774
Ac 0.900 2.229 5.832
Ac 0.900 7.885 4.283
Ac 4.366 9.340 7.287
Ac 6.032 5.832 7.885
Ac 2.566 2.828 9.340
Ac 6.032 4.283 2.229
Nd 0.000 0.000 0.000
Nd 3.466 5.057 5.057
Pb 5.952 2.741 9.107
Pb 2.486 4.049 2.316
Pb 0.980 1.008 2.741
Pb 2.486 6.065 7.798
Pb 4.446 2.316 6.065
Pb 0.980 9.107 7.374
Pb 5.952 7.374 1.008
Pb 4.446 7.798 4.049
```

Computed properties:
**Total magnetic moment**: 0.00 Bohr magnetons per cell
**Raw total energy**: -4.350 eV per atom
**SG**: P4_2/n, No. 86
**Formation enthalpy at 0 K**: -0.35 eV per atom



> Number 2 is which compound?

AcNd5Pb6



> Which value of formation enthalpy at 0 K does entry 3 give?

-0.38 eV per atom